Material: Sm5Co2Te
Method: DFT, PBE
State: optimized geometry

Cell: 8.7288 8.7288 8.7288 Å, 126.94 126.94 78.34°
Atoms (fractional coordinates):
Sm1 0.0000 0.0000 0.0000
Sm2 0.0224 0.5224 0.8108
Sm3 0.2117 0.0224 0.5000
Sm4 0.2883 0.7883 0.8108
Sm5 0.4776 0.2883 0.5000
Sm6 0.5000 0.5000 0.0000
Sm7 0.5224 0.7117 0.5000
Sm8 0.7117 0.2117 0.1892
Sm9 0.7883 0.9776 0.5000
Sm10 0.9776 0.4776 0.1892
Co1 0.1391 0.3609 0.5000
Co2 0.3609 0.8609 0.2219
Co3 0.6391 0.1391 0.7781
Co4 0.8609 0.6391 0.5000
Te1 0.2500 0.2500 0.0000
Te2 0.7500 0.7500 0.0000

Values from the calculation:
The value obtained for the uncorrected energy is -0.203 Ha/atom. The formation energy from raw total energies comes out at -0.4106 eV/atom.

Material: Ho3Pa5N12
Method: DFT, PBE
State: optimized geometry

Cell: 12.0026 12.0026 12.0026 Å, 109.47 109.47 109.47°
Atoms (fractional coordinates):
Ho1 0.1250 0.2500 0.3750
Ho2 0.1250 0.3750 0.7500
Ho3 0.2500 0.3750 0.1250
Ho4 0.2500 0.8750 0.6250
Ho5 0.3750 0.1250 0.2500
Ho6 0.3750 0.7500 0.1250
Ho7 0.6250 0.2500 0.8750
Ho8 0.6250 0.8750 0.7500
Ho9 0.7500 0.1250 0.3750
Ho10 0.7500 0.6250 0.8750
Ho11 0.8750 0.6250 0.2500
Ho12 0.8750 0.7500 0.6250
Pa1 0.0000 0.0000 0.0000
Pa2 0.0000 0.0000 0.5000
Pa3 0.0000 0.5000 0.0000
Pa4 0.0000 0.5000 0.5000
Pa5 0.1250 0.7500 0.8750
Pa6 0.1250 0.8750 0.2500
Pa7 0.2500 0.1250 0.8750
Pa8 0.2500 0.6250 0.3750
Pa9 0.3750 0.2500 0.6250
Pa10 0.3750 0.6250 0.7500
Pa11 0.5000 0.0000 0.0000
Pa12 0.5000 0.0000 0.5000
Pa13 0.5000 0.5000 0.0000
Pa14 0.5000 0.5000 0.5000
Pa15 0.6250 0.3750 0.2500
Pa16 0.6250 0.7500 0.3750
Pa17 0.7500 0.3750 0.6250
Pa18 0.7500 0.8750 0.1250
Pa19 0.8750 0.1250 0.7500
Pa20 0.8750 0.2500 0.1250
N1 0.0322 0.2031 0.1392
N2 0.0322 0.3291 0.8930
N3 0.0639 0.7031 0.6709
N4 0.0639 0.8608 0.3930
N5 0.1070 0.6392 0.4361
N6 0.1070 0.9678 0.6709
N7 0.1392 0.0322 0.2031
N8 0.1392 0.6070 0.9361
N9 0.1709 0.2031 0.5639
N10 0.1709 0.4678 0.6070
N11 0.2031 0.1392 0.0322
N12 0.2031 0.5639 0.1709
N13 0.2969 0.3291 0.9361
N14 0.2969 0.4678 0.3608
N15 0.3291 0.8930 0.0322
N16 0.3291 0.9361 0.2969
N17 0.3608 0.2969 0.4678
N18 0.3608 0.5639 0.8930
N19 0.3930 0.0639 0.8608
N20 0.3930 0.8291 0.5322
N21 0.4361 0.1070 0.6392
N22 0.4361 0.8291 0.7969
N23 0.4678 0.3608 0.2969
N24 0.4678 0.6070 0.1709
N25 0.5322 0.3930 0.8291
N26 0.5322 0.6392 0.7031
N27 0.5639 0.1709 0.2031
N28 0.5639 0.8930 0.3608
N29 0.6070 0.1709 0.4678
N30 0.6070 0.9361 0.1392
N31 0.6392 0.4361 0.1070
N32 0.6392 0.7031 0.5322
N33 0.6709 0.0639 0.7031
N34 0.6709 0.1070 0.9678
N35 0.7031 0.5322 0.6392
N36 0.7031 0.6709 0.0639
N37 0.7969 0.4361 0.8291
N38 0.7969 0.8608 0.9678
N39 0.8291 0.5322 0.3930
N40 0.8291 0.7969 0.4361
N41 0.8608 0.3930 0.0639
N42 0.8608 0.9678 0.7969
N43 0.8930 0.0322 0.3291
N44 0.8930 0.3608 0.5639
N45 0.9361 0.1392 0.6070
N46 0.9361 0.2969 0.3291
N47 0.9678 0.6709 0.1070
N48 0.9678 0.7969 0.8608

Values from the calculation:
The value obtained for the uncorrected energy is -0.342 Ha/atom. The formation energy from raw total energies comes out at -1.2530 eV/atom.

Material: Si2AsIr
Method: DFT, PBE
State: optimized geometry

Cell: 4.2006 4.2006 6.9088 Å, 90.00 90.00 90.00°
Atoms (fractional coordinates):
Si1 0.0000 0.0000 0.0000
Si2 0.0000 0.5000 0.2500
Si3 0.5000 0.0000 0.7500
Si4 0.5000 0.5000 0.5000
As1 0.0000 0.5000 0.7500
As2 0.5000 0.0000 0.2500
Ir1 0.0000 0.0000 0.5000
Ir2 0.5000 0.5000 0.0000

Values from the calculation:
The value obtained for the uncorrected energy is -0.213 Ha/atom. The formation energy from raw total energies comes out at 0.2858 eV/atom.

Material: Ca3La2Pm2
Method: DFT, PBE
State: optimized geometry

Cell: 5.8277 25.3413 3.6614 Å, 90.00 90.00 90.00°
Atoms (fractional coordinates):
Ca1 0.0000 0.0000 0.0000
Ca2 0.0000 0.4240 0.5000
Ca3 0.0000 0.5760 0.5000
Ca4 0.5000 0.0760 0.5000
Ca5 0.5000 0.5000 0.0000
Ca6 0.5000 0.9240 0.5000
La1 0.0000 0.2797 0.5000
La2 0.0000 0.7203 0.5000
La3 0.5000 0.2203 0.5000
La4 0.5000 0.7797 0.5000
Pm1 0.0000 0.1527 0.0000
Pm2 0.0000 0.8473 0.0000
Pm3 0.5000 0.3473 0.0000
Pm4 0.5000 0.6527 0.0000

Values from the calculation:
The value obtained for the uncorrected energy is -0.131 Ha/atom. The formation energy is 0.064 eV/atom.

Material: CaNiAsSe2
Method: DFT, PBE
State: optimized geometry

Cell: 5.3500 5.3500 5.3652 Å, 90.00 90.00 90.00°
Atoms (fractional coordinates):
Ca1 0.0000 0.0000 0.0000
Ni1 0.5000 0.5000 0.5000
As1 0.0000 0.0000 0.5000
Se1 0.0000 0.5000 0.0000
Se2 0.5000 0.0000 0.0000

Values from the calculation:
The value obtained for the uncorrected energy is -0.112 Ha/atom. The formation energy from raw total energies comes out at 0.8260 eV/atom.

Material: CePrNi2
Method: DFT, PBE
State: optimized geometry

Cell: 3.7023 4.1539 5.9427 Å, 90.00 108.01 90.00°
Atoms (fractional coordinates):
Ce1 0.0000 0.0000 0.0000
Pr1 0.2632 0.5000 0.5295
Ni1 0.5360 0.5000 0.0718
Ni2 0.6799 0.0000 0.3621

Values from the calculation:
The value obtained for the uncorrected energy is -0.216 Ha/atom. The formation energy is -0.305 eV/atom.